15
Lattice="5.514 -0.322 -0.332 -0.494 5.501 -0.332 -0.494 -0.509 5.488" Properties=species:S:1:pos:R:3 comment="BaH8Pd6 | Alexandria | PBE | relaxed" dft_energy_ev_per_atom=-4.14 pbc="T T T"
Ba 0.000 0.000 0.000
H 2.999 3.094 3.195
H 1.528 1.576 1.628
H 2.913 4.247 0.985
H 4.154 0.886 3.074
H 0.756 2.938 4.276
H 1.613 0.423 3.838
H 0.373 3.783 1.748
H 3.770 1.732 0.546
Pd 3.022 1.607 4.296
Pd 1.512 4.194 3.208
Pd 4.145 3.153 1.745
Pd 1.504 3.062 0.527
Pd 3.014 0.475 1.615
Pd 0.381 1.517 3.078